Entry 1:
# HfBi2P (SCAN, single point on PBEsol structure)
# DFT formation energy: 2.789 eV per formula unit
# Size of the total moment: 0.92 μB per formula unit
# Density of states at the Fermi level: 11.12 states/eV per cell
data_HfBi2P
_space_group_name_H-M_alt 'I -4 2 d'
_space_group_IT_number 122
_space_group_name_Hall 'I -4 2bw'
_cell_length_a 6.519
_cell_length_b 6.519
_cell_length_c 12.683
_cell_angle_alpha 90.00
_cell_angle_beta 90.00
_cell_angle_gamma 90.00
loop_
_atom_site_label
_atom_site_type_symbol
_atom_site_fract_x
_atom_site_fract_y
_atom_site_fract_z
Hf1 Hf 0.000 0.000 0.000
Bi1 Bi 0.234 0.250 0.625
P1 P 0.000 0.000 0.500

=====

Entry 2:
# HfBiP3 (SCAN, single point on PBEsol structure)
# DFT formation energy: 7.463 eV per formula unit
# Size of the total moment: 0.00 μB per formula unit
# Density of states at the Fermi level: 3.70 states/eV per cell
data_HfBiP3
_space_group_name_H-M_alt 'P m -3 m'
_space_group_IT_number 221
_space_group_name_Hall '-P 4 2 3'
_cell_length_a 4.987
_cell_length_b 4.987
_cell_length_c 4.987
_cell_angle_alpha 90.00
_cell_angle_beta 90.00
_cell_angle_gamma 90.00
loop_
_atom_site_label
_atom_site_type_symbol
_atom_site_fract_x
_atom_site_fract_y
_atom_site_fract_z
Hf1 Hf 0.000 0.000 0.000
Bi1 Bi 0.500 0.500 0.500
P1 P 0.000 0.500 0.500

=====

Entry 3:
# Hf2BiP2 (SCAN, single point on PBEsol structure)
# DFT formation energy: -2.976 eV per formula unit
# Size of the total moment: 0.00 μB per formula unit
# Density of states at the Fermi level: 5.03 states/eV per cell
data_Hf2BiP2
_space_group_name_H-M_alt 'I 4/m m m'
_space_group_IT_number 139
_space_group_name_Hall '-I 4 2'
_cell_length_a 3.719
_cell_length_b 3.719
_cell_length_c 13.844
_cell_angle_alpha 90.00
_cell_angle_beta 90.00
_cell_angle_gamma 90.00
loop_
_atom_site_label
_atom_site_type_symbol
_atom_site_fract_x
_atom_site_fract_y
_atom_site_fract_z
Hf1 Hf 0.000 0.000 0.117
Bi1 Bi 0.000 0.000 0.500
P1 P 0.000 0.500 0.250

=====

- Which formula does entry 3 have?
  Hf2BiP2

=====

- Which of these has the highest DFT formation energy?
  HfBiP3